Material: Cs3K2MoO6
Method: DFT, PBE+U
State: optimized geometry

Calculated values
The calculation puts the mass density at 4.4 g/cm³. Its total energy is -117.9 eV/cell. Its spin magnetization is 0.0895 μB/atom. As for the volume: 20.85 Å³ per atom.

Unit cell a=6.6666 b=11.5762 c=6.8248 alpha=90.00 beta=108.17 gamma=90.00
Space group C2/m (No. 12)
One atom of each set of equivalent atoms:
Cs 0.0000 0.0000 0.0000 (multiplicity 2)
Cs 0.0000 0.3307 0.0000 (multiplicity 4)
K 0.0000 0.1664 0.5000 (multiplicity 4)
Mo 0.0000 0.5000 0.5000 (multiplicity 2)
O 0.1793 0.3792 0.6721 (multiplicity 8)
O 0.1819 0.5000 0.3199 (multiplicity 4)